1.
A plane-wave DFT calculation with PBE was carried out for a geometry-optimized Er2P4O13 structure.

Structure (CIF):
```
data_Er2P4O13
_space_group_name_H-M_alt 'C 1 2/c 1'
_space_group_IT_number 15
_space_group_name_Hall '-C 2yc'
_cell_length_a 11.933
_cell_length_b 6.789
_cell_length_c 12.939
_cell_angle_alpha 90.00
_cell_angle_beta 106.85
_cell_angle_gamma 90.00
loop_
_atom_site_label
_atom_site_type_symbol
_atom_site_fract_x
_atom_site_fract_y
_atom_site_fract_z
Er1 Er 0.194 0.005 0.050
P1 P 0.012 0.340 0.866
P2 P 0.236 0.487 0.661
O1 O 0.000 0.243 0.750
O2 O 0.009 0.169 0.942
O3 O 0.099 0.478 0.654
O4 O 0.112 0.481 0.897
O5 O 0.197 0.007 0.221
O6 O 0.237 0.185 0.404
O7 O 0.249 0.329 0.096
```

- Energy above the most stable polymorph in this dataset: 0.64 kcal/mol of atoms
- Crystal system: monoclinic



2.
A plane-wave DFT calculation with PBE was carried out for a geometry-optimized ErP3O9 structure.

Structure (CIF):
```
data_ErP3O9
_space_group_name_H-M_alt 'P 1 21/m 1'
_space_group_IT_number 11
_space_group_name_Hall '-P 2yb'
_cell_length_a 7.049
_cell_length_b 9.764
_cell_length_c 11.071
_cell_angle_alpha 90.00
_cell_angle_beta 92.07
_cell_angle_gamma 90.00
loop_
_atom_site_label
_atom_site_type_symbol
_atom_site_fract_x
_atom_site_fract_y
_atom_site_fract_z
Er1 Er 0.180 0.250 0.461
Er2 Er 0.309 0.250 0.980
P1 P 0.180 0.750 0.102
P2 P 0.269 0.011 0.231
P3 P 0.308 0.750 0.625
P4 P 0.323 0.034 0.716
O1 O 0.011 0.750 0.017
O2 O 0.138 0.750 0.539
O3 O 0.154 0.088 0.320
O4 O 0.154 0.625 0.196
O5 O 0.228 0.094 0.604
O6 O 0.276 0.091 0.837
O7 O 0.290 0.628 0.722
O8 O 0.327 0.086 0.120
O9 O 0.377 0.750 0.054
O10 O 0.452 0.550 0.304
O11 O 0.498 0.250 0.426
```

- Energy above the most stable polymorph in this dataset: 0.00 kcal/mol of atoms
- Crystal system: monoclinic



3.
A plane-wave DFT calculation with PBE was carried out for a geometry-optimized Er3PPbO structure.

Structure (CIF):
```
data_Er3PPbO
_space_group_name_H-M_alt 'P 1 21/m 1'
_space_group_IT_number 11
_space_group_name_Hall '-P 2yb'
_cell_length_a 8.781
_cell_length_b 3.940
_cell_length_c 8.857
_cell_angle_alpha 90.00
_cell_angle_beta 104.03
_cell_angle_gamma 90.00
loop_
_atom_site_label
_atom_site_type_symbol
_atom_site_fract_x
_atom_site_fract_y
_atom_site_fract_z
Er1 Er 0.065 0.250 0.343
Er2 Er 0.337 0.250 0.979
Er3 Er 0.378 0.750 0.649
P1 P 0.156 0.250 0.663
Pb1 Pb 0.316 0.750 0.273
O1 O 0.412 0.750 0.904
```

- Crystal system: monoclinic
- Total energy: -6.31 eV/atom



4.
A plane-wave DFT calculation with PBE was carried out for a geometry-optimized Pm2ErPO8 structure.

Structure (CIF):
```
data_Pm2ErPO8
_space_group_name_H-M_alt 'P -3 m 1'
_space_group_IT_number 164
_space_group_name_Hall '-P 3 2"'
_cell_length_a 5.2176
_cell_length_b 5.2176
_cell_length_c 6.1522
_cell_angle_alpha 90.00
_cell_angle_beta 90.00
_cell_angle_gamma 120.00
loop_
_atom_site_label
_atom_site_type_symbol
_atom_site_fract_x
_atom_site_fract_y
_atom_site_fract_z
Pm1 Pm 0.3333 0.6667 0.3633
Er1 Er 0.0000 0.0000 0.0000
P1 P 0.0000 0.0000 0.5000
O1 O 0.1525 0.3050 0.6653
O2 O 0.3333 0.6667 0.0191
```

- Crystal system: trigonal
- Total energy: -7.31 eV/atom